Record 1
Material: CdIn3Pb6
Method: DFT, GGA-PBE
State: relaxed

Cell: 5.0559 12.1722 13.6575 Å, 132.84 90.00 90.00°
Last column: nearest neighbours and their distance in Å.
Fractional coordinates of all 20 atoms:
In 0.7500 0.4953 0.8083  8 Pb 3.24-3.51, 4 In 3.46-3.62
In 0.2500 0.7080 0.8349  8 Pb 3.35-3.69, 3 In 3.41-3.46
In 0.7500 0.2920 0.1651  8 Pb 3.35-3.69, 3 In 3.41-3.46
In 0.7500 0.6646 0.4472  1 Cd 3.12, 6 Pb 3.30-3.43, 1 In 3.41
In 0.2500 0.3354 0.5528  1 Cd 3.12, 6 Pb 3.30-3.43, 1 In 3.41
In 0.2500 0.5047 0.1917  8 Pb 3.24-3.51, 4 In 3.46-3.62
Cd 0.2500 0.9899 0.3081  1 In 3.12, 7 Pb 3.29-3.45
Cd 0.7500 0.0101 0.6919  1 In 3.12, 7 Pb 3.29-3.45
Pb 0.2500 0.6323 0.0311  1 Cd 3.30, 4 In 3.38-3.44, 5 Pb 3.42-3.51
Pb 0.2500 0.8816 0.4852  3 Cd 3.29-3.45, 5 Pb 3.40-3.64, 3 In 3.43-3.48
Pb 0.2500 0.1229 0.9001  2 Cd 3.32, 6 Pb 3.41-3.51, 3 In 3.51-3.69
Pb 0.7500 0.3677 0.9689  1 Cd 3.30, 4 In 3.38-3.44, 5 Pb 3.42-3.51
Pb 0.7500 0.5440 0.6024  6 In 3.24-3.44, 3 Pb 3.35-3.36
Pb 0.7500 0.9131 0.8693  1 Cd 3.34, 6 Pb 3.35-3.65, 3 In 3.35-3.50
Pb 0.7500 0.8771 0.0999  2 Cd 3.32, 6 Pb 3.41-3.51, 3 In 3.51-3.69
Pb 0.2500 0.2594 0.7464  3 In 3.34-3.47, 7 Pb 3.40-3.46, 2 Cd 3.62
Pb 0.7500 0.7406 0.2536  3 In 3.34-3.47, 7 Pb 3.40-3.46, 2 Cd 3.62
Pb 0.2500 0.0869 0.1307  1 Cd 3.34, 6 Pb 3.35-3.65, 3 In 3.35-3.50
Pb 0.7500 0.1184 0.5148  3 Cd 3.29-3.45, 5 Pb 3.40-3.64, 3 In 3.43-3.48
Pb 0.2500 0.4560 0.3976  6 In 3.24-3.44, 3 Pb 3.35-3.36

The calculation puts the energy above the most stable polymorph in this dataset at 3.1 kJ/mol of atoms. The energy comes out at -3.08 eV per atom. As for the calculated formation energy: 0.05 eV per atom. Its crystal system is monoclinic. The calculation puts the size of the total moment at 0.00 μB per cell.


Record 2
Material: Al2AgIr
Method: DFT, GGA-PBE
State: relaxed

Cell: 5.0172 5.0172 5.0172 Å, 135.87 135.87 64.18°
Last column: nearest neighbours and their distance in Å.
Fractional coordinates of all 4 atoms:
Al 0.2500 0.7500 0.5000  4 Ag 2.67, 4 Ir 2.84, 4 Al 2.84
Al 0.0000 0.0000 0.0000  4 Ir 2.67, 4 Ag 2.84, 4 Al 2.84
Ir 0.5000 0.5000 0.0000  8 Al 2.67-2.84, 4 Ag 2.84
Ag 0.7500 0.2500 0.5000  8 Al 2.67-2.84, 4 Ir 2.84

The energy comes out at -5.18 eV per atom. As for the calculated formation energy: -0.38 eV per atom. Its crystal system is tetragonal. The calculation puts the size of the total moment at 0.00 μB per cell.


Record 3
Material: AlV2Cr2
Method: DFT, GGA-PBE
State: relaxed

Cell: 4.1243 5.0892 6.7827 Å, 106.41 107.70 90.00°
Last column: nearest neighbours and their distance in Å.
Fractional coordinates of all 10 atoms:
V 0.3915 0.3631 0.7830  3 Cr 2.48-2.50, 3 V 2.54-2.74, 2 Al 2.65
V 0.3915 0.8631 0.7830  3 Cr 2.48-2.50, 3 V 2.54-2.74, 2 Al 2.65
V 0.6085 0.6369 0.2170  3 Cr 2.48-2.50, 3 V 2.54-2.74, 2 Al 2.65
V 0.6085 0.1369 0.2170  3 Cr 2.48-2.50, 3 V 2.54-2.74, 2 Al 2.65
Cr 0.2030 0.5516 0.4061  3 V 2.48-2.50, 4 Cr 2.53-2.54, 1 Al 2.62
Cr 0.2030 0.0516 0.4061  3 V 2.48-2.50, 4 Cr 2.53-2.54, 1 Al 2.62
Cr 0.7970 0.4484 0.5939  3 V 2.48-2.50, 4 Cr 2.53-2.54, 1 Al 2.62
Cr 0.7970 0.9484 0.5939  3 V 2.48-2.50, 4 Cr 2.53-2.54, 1 Al 2.62
Al 0.0000 0.2500 0.0000  2 Al 2.54, 2 Cr 2.62, 4 V 2.65
Al 0.0000 0.7500 0.0000  2 Al 2.54, 2 Cr 2.62, 4 V 2.65

The calculation puts the energy above the most stable polymorph in this dataset at 5.5 kJ/mol of atoms. The energy comes out at -8.33 eV per atom. As for the calculated formation energy: -0.09 eV per atom. Its crystal system is monoclinic. The calculation puts the size of the total moment at 0.00 μB per cell.


Record 4
Material: Tb2Si4Pt3Rh
Method: DFT, GGA-PBE
State: relaxed

Cell: 4.1432 4.1432 10.0139 Å, 90.00 90.00 90.00°
Last column: nearest neighbours and their distance in Å.
Fractional coordinates of all 10 atoms:
Si 0.5000 0.5000 0.0000  4 Pt 2.43
Si 0.5000 0.0000 0.6335  3 Pt 2.40-2.47, 2 Rh 2.47
Si 0.0000 0.5000 0.3665  3 Pt 2.40-2.47, 2 Rh 2.47
Si 0.0000 0.0000 0.0000  4 Pt 2.43
Tb 0.5000 0.0000 0.2472  8 Si 3.16-3.23, 6 Pt 3.17-3.27, 2 Rh 3.27
Tb 0.0000 0.5000 0.7528  8 Si 3.16-3.23, 6 Pt 3.17-3.27, 2 Rh 3.27
Rh 0.5000 0.5000 0.5000  4 Si 2.47
Pt 0.0000 0.0000 0.5000  4 Si 2.47
Pt 0.0000 0.5000 0.1264  5 Si 2.40-2.43
Pt 0.5000 0.0000 0.8736  5 Si 2.40-2.43

The energy comes out at -6.76 eV per atom. Its crystal system is tetragonal. The calculation puts the size of the total moment at 0.00 μB per cell.


Record 5
Material: NaGe2Bi2
Method: DFT, GGA-PBE
State: relaxed

Cell: 5.6010 5.6010 6.0588 Å, 62.47 62.47 90.00°
Last column: nearest neighbours and their distance in Å.
Fractional coordinates of all 5 atoms:
Bi 0.2500 0.7500 0.5000  4 Ge 2.98
Bi 0.7500 0.2500 0.5000  4 Ge 2.98
Ge 0.3616 0.3616 0.2769  1 Ge 2.54
Ge 0.6384 0.6384 0.7231  1 Ge 2.54
Na 0.0000 0.0000 0.0000  2 Ge 3.32, 8 Bi 3.62

The calculation puts the energy above the most stable polymorph in this dataset at 0.0 kJ/mol of atoms. The energy comes out at -3.61 eV per atom. As for the calculated formation energy: 0.05 eV per atom. Its crystal system is tetragonal. The calculation puts the size of the total moment at 0.00 μB per cell.


Record 6
Material: Ba3Ge5Au6
Method: DFT, GGA-PBE
State: relaxed

Cell: 4.5382 11.1085 13.7045 Å, 90.00 90.00 90.00°
Last column: nearest neighbours and their distance in Å.
Fractional coordinates of all 28 atoms:
Au 0.0000 0.0049 0.8272  4 Ge 2.66-2.68
Au 0.0000 0.0049 0.1728  4 Ge 2.66-2.68
Au 0.0000 0.6250 0.3134  4 Ge 2.69-2.72, 1 Au 2.90
Au 0.0000 0.5012 0.5000  2 Au 2.90, 4 Ge 3.01
Au 0.0000 0.6250 0.6866  4 Ge 2.69-2.72, 1 Au 2.90
Au 0.5000 0.4988 0.0000  2 Au 2.90, 4 Ge 3.01
Au 0.5000 0.0120 0.0000  4 Ge 2.62-2.68
Au 0.5000 0.9951 0.6728  4 Ge 2.66-2.68
Au 0.5000 0.3750 0.1866  4 Ge 2.69-2.72, 1 Au 2.90
Au 0.0000 0.9880 0.5000  4 Ge 2.62-2.68
Au 0.5000 0.9951 0.3272  4 Ge 2.66-2.68
Au 0.5000 0.3750 0.8134  4 Ge 2.69-2.72, 1 Au 2.90
Ge 0.5000 0.4995 0.3553  5 Au 2.69-3.01
Ge 0.0000 0.5005 0.1447  5 Au 2.69-3.01
Ge 0.5000 0.1337 0.8311  5 Au 2.66-2.69
Ge 0.0000 0.5005 0.8553  5 Au 2.69-3.01
Ge 0.5000 0.4995 0.6447  5 Au 2.69-3.01
Ge 0.0000 0.8663 0.3311  5 Au 2.66-2.69
Ge 0.5000 0.1337 0.1689  5 Au 2.66-2.69
Ge 0.0000 0.8937 0.0000  4 Au 2.62-2.67
Ge 0.5000 0.1063 0.5000  4 Au 2.62-2.67
Ge 0.0000 0.8663 0.6689  5 Au 2.66-2.69
Ba 0.5000 0.7471 0.8451  7 Au 3.42-3.66, 6 Ge 3.51-3.57
Ba 0.5000 0.7466 0.5000  6 Ge 3.39-3.50, 10 Au 3.51-3.68
Ba 0.0000 0.2529 0.3451  7 Au 3.42-3.66, 6 Ge 3.51-3.57
Ba 0.5000 0.7471 0.1549  7 Au 3.42-3.66, 6 Ge 3.51-3.57
Ba 0.0000 0.2529 0.6549  7 Au 3.42-3.66, 6 Ge 3.51-3.57
Ba 0.0000 0.2534 0.0000  6 Ge 3.39-3.50, 10 Au 3.51-3.68

The energy comes out at -3.92 eV per atom. As for the calculated formation energy: -0.45 eV per atom. Its crystal system is orthorhombic. The calculation puts the size of the total moment at 0.00 μB per cell.


Record 7
Material: Na2SrTiCd
Method: DFT, GGA-PBE
State: relaxed

Cell: 5.6407 5.5508 5.6407 Å, 90.00 90.00 90.00°
Last column: nearest neighbours and their distance in Å.
Fractional coordinates of all 5 atoms:
Cd 0.0000 0.0000 0.0000  2 Ti 2.78, 4 Na 2.82
Na 0.0000 0.0000 0.5000  2 Cd 2.82
Na 0.5000 0.0000 0.0000  2 Cd 2.82
Sr 0.5000 0.5000 0.5000  8 Na 3.96, 4 Ti 3.99
Ti 0.0000 0.5000 0.0000  2 Cd 2.78

The energy comes out at -2.14 eV per atom. As for the calculated formation energy: 0.48 eV per atom. Its crystal system is tetragonal. The calculation puts the size of the total moment at 2.74 μB per cell.


Record 8
Material: TiTcW
Method: DFT, GGA-PBE
State: relaxed

Cell: 13.3938 4.4073 3.1329 Å, 90.00 90.00 90.00°
Last column: nearest neighbours and their distance in Å.
Fractional coordinates of all 12 atoms:
W 0.0000 0.0000 0.0000  4 W 2.70, 4 Tc 2.71
W 0.5000 0.5000 0.0000  4 W 2.70, 4 Tc 2.71
W 0.0000 0.5000 0.5000  4 W 2.70, 4 Ti 2.77
W 0.5000 0.0000 0.5000  4 W 2.70, 4 Ti 2.77
Tc 0.8348 0.0000 0.5000  6 Ti 2.70-2.71, 2 W 2.71
Tc 0.6652 0.5000 0.5000  6 Ti 2.70-2.71, 2 W 2.71
Tc 0.3348 0.5000 0.5000  6 Ti 2.70-2.71, 2 W 2.71
Tc 0.1652 0.0000 0.5000  6 Ti 2.70-2.71, 2 W 2.71
Ti 0.8299 0.5000 0.0000  6 Tc 2.70-2.71, 2 W 2.77
Ti 0.6701 0.0000 0.0000  6 Tc 2.70-2.71, 2 W 2.77
Ti 0.1701 0.5000 0.0000  6 Tc 2.70-2.71, 2 W 2.77
Ti 0.3299 0.0000 0.0000  6 Tc 2.70-2.71, 2 W 2.77

The calculation puts the energy above the most stable polymorph in this dataset at 5.2 kJ/mol of atoms. The energy comes out at -10.72 eV per atom. As for the calculated formation energy: -0.32 eV per atom. Its crystal system is orthorhombic. The calculation puts the size of the total moment at 0.00 μB per cell.